First-principles (PBE-GGA) data for a geometry-optimized CaAsPd2 structure, as listed in Alexandria via LeMat-Bulk.

Results
As for the calculated formation energy: -0.5041 eV/atom. The calculation puts the energy at -38.106 eV per cell. The total magnetization is 0.00 μB per atom. The value obtained for the density of states at the Fermi level is 0.6197 states/eV/atom.

a = 4.831 Å, b = 4.831 Å, c = 8.967 Å
α = 74.37°, β = 74.37°, γ = 90.00°
Atoms (fractional coordinates):
As: 0.000 0.000 0.000
As: 0.750 0.250 0.500
Ca: 0.500 0.500 0.000
Ca: 0.250 0.750 0.500
Pd: 0.779 0.125 0.250
Pd: 0.971 0.625 0.250
Pd: 0.375 0.221 0.750
Pd: 0.875 0.029 0.750